[1]
VASP calculation (meta-GGA SCAN) on a crystal of KBa2Sn2 relaxed with PBEsol.

Geometry as extended XYZ:
```
5
Lattice="6.003 0.000 0.000 0.000 6.003 0.000 -3.002 -3.002 6.388" Properties=species:S:1:pos:R:3 pbc="T T T"
K 0.000 0.000 0.000
Ba 0.000 0.000 4.547
Ba 3.002 3.002 1.842
Sn 0.000 3.002 3.194
Sn 3.002 0.000 3.194
```

Calculated values
The electronic total energy is -160.15 eV for the cell shown. Its space group is I4/mmm, No. 139. The energy relative to the elements is -0.9 eV/f.u.

[2]
VASP calculation (meta-GGA SCAN) on a crystal of K2BaSrSn relaxed with PBEsol.

Geometry as extended XYZ:
```
5
Lattice="6.159 0.000 0.000 0.000 6.638 0.000 0.000 0.000 6.638" Properties=species:S:1:pos:R:3 pbc="T T T"
Sr 0.000 0.000 0.000
K 0.000 0.000 3.319
K 0.000 3.319 0.000
Ba 3.080 3.319 3.319
Sn 3.080 0.000 0.000
```

Calculated values
The electronic total energy is -113.11 eV for the cell shown. Its space group is P4/mmm, No. 123. The energy relative to the elements is 1.3 eV/f.u.

[3]
VASP calculation (meta-GGA SCAN) on a crystal of K2BaSnTe4 relaxed with PBEsol.

Geometry as extended XYZ:
```
8
Lattice="7.203 0.023 0.000 -2.462 6.769 0.000 -2.370 -3.396 5.893" Properties=species:S:1:pos:R:3 pbc="T T T"
K 2.416 -1.687 2.947
K -2.416 1.687 2.947
Te 4.408 0.019 0.000
Te -1.502 4.144 0.000
Te 0.917 1.314 2.290
Te 3.288 4.710 3.603
Ba 2.370 3.396 0.000
Sn 0.000 0.000 0.000
```

Calculated values
The electronic total energy is -249.75 eV for the cell shown. Its space group is I-42m, No. 121. As for the formation energy (no corrections): -1.08 eV per atom.

[4]
VASP calculation (meta-GGA SCAN) on a crystal of KBaSr2 relaxed with PBEsol.

Geometry as extended XYZ:
```
4
Lattice="4.278 0.000 0.000 0.000 6.136 0.000 0.000 0.000 8.725" Properties=species:S:1:pos:R:3 pbc="T T T"
Sr 0.000 0.000 0.099
Sr 2.139 3.068 2.135
K 2.139 3.068 6.572
Ba 0.000 0.000 4.281
```

Calculated values
The electronic total energy is -92.09 eV for the cell shown. Its space group is Pmm2, No. 25. As for the distance to the lowest polymorph of the same formula: 29 meV/atom. The energy relative to the elements is 0.3 eV/f.u.

[5]
VASP calculation (meta-GGA SCAN) on a crystal of K2BaSr2 relaxed with PBEsol.

Geometry as extended XYZ:
```
5
Lattice="-5.500 1.397 -1.141 0.032 -3.585 -4.544 -0.165 -5.856 8.305" Properties=species:S:1:pos:R:3 pbc="T T T"
Sr -1.433 -5.268 0.459
Sr -4.199 -2.776 2.161
K -2.342 -5.614 4.413
K -3.291 -2.430 -1.793
Ba 0.000 0.000 0.000
```

Calculated values
The electronic total energy is -99.45 eV for the cell shown. Its space group is I4/mmm, No. 139. The energy relative to the elements is 1.3 eV/f.u.

[6]
VASP calculation (meta-GGA SCAN) on a crystal of KBaSr2 relaxed with PBEsol.

Geometry as extended XYZ:
```
4
Lattice="6.047 0.000 0.000 0.000 6.047 0.000 -3.024 -3.024 6.280" Properties=species:S:1:pos:R:3 pbc="T T T"
Ba 3.024 3.024 0.000
K 0.000 0.000 0.000
Sr 3.024 0.000 3.140
Sr 0.000 3.024 3.140
```

Calculated values
The electronic total energy is -92.00 eV for the cell shown. Its space group is I4/mmm, No. 139. As for the distance to the lowest polymorph of the same formula: 51 meV/atom. The energy relative to the elements is 0.4 eV/f.u.